# Li3Pa2SiN6 | Alexandria | PBE-GGA | relaxed
data_Li3Pa2SiN6
_chemical_formula_sum 'Li6 Pa4 Si2 N12'
_space_group_name_H-M_alt 'C 1 2/m 1'
_space_group_IT_number 12
_space_group_name_Hall '-C 2y'
_cell_length_a 5.4481
_cell_length_b 10.3950
_cell_length_c 5.2911
_cell_angle_alpha 90.00
_cell_angle_beta 104.00
_cell_angle_gamma 90.00
loop_
_atom_site_label
_atom_site_type_symbol
_atom_site_fract_x
_atom_site_fract_y
_atom_site_fract_z
Li1 Li 0.0000 0.0000 0.0000
Li2 Li 0.0000 0.3793 0.0000
Pa1 Pa 0.0000 0.1634 0.5000
Si1 Si 0.0000 0.5000 0.5000
N1 N 0.2106 0.3557 0.7066
N2 N 0.2394 0.5000 0.2852
# Formation energy (no corrections)   -10.03 eV/f.u.
# E_tot   -7.511 eV per atom
# Density of states at the Fermi level   10.26 states/eV/cell
# Magnetic moment   0.00 Bohr magnetons per cell